Compound: Y2HoAl2Zn3Cd
Source: OQMD via LeMat-Bulk
Functional: GGA-PBE
Structure: optimized geometry

abc: 4.458 7.012 7.012
angles: 119.84 90.00 90.00
Atoms (fractional coordinates):
Y 0.000 0.216 0.784
Y 0.000 0.784 0.216
Ho 0.000 0.351 0.351
Al 0.500 0.118 0.450
Al 0.500 0.450 0.118
Zn 0.500 0.032 0.032
Zn 0.500 0.536 0.783
Zn 0.500 0.783 0.536
Cd 0.000 0.782 0.782

Output
The total energy comes out at -33.22 eV/f.u. The density is 6.2 Mg/m³.